Compound: MnPtO3
Source: the Alexandria database
Functional: GGA+U
Structure: optimized geometry

Cell lengths 3.932, 3.932, 3.932 Å; angles 90.00, 90.00, 90.00 degrees
Each line ends with the local moment (μB).
Atoms (fractional coordinates):
Mn (0.500, 0.500, 0.500)  4.70
O (0.000, 0.500, 0.000)  0.01
O (0.000, 0.000, 0.500)  0.01
O (0.500, 0.000, 0.000)  -0.06
Pt (0.000, 0.000, 0.000)  -0.14

Properties
Space group: No. 221
Uncorrected energy, eV/atom: -5.9548